No. 1
CrSb4Os | the Alexandria database | PBE-GGA | relaxed; ΔE_f (raw) = 1.321 eV per atom; space-group type = No. 216
1.0
0.0000 4.2398 4.2398
4.2398 0.0000 4.2398
4.2398 4.2398 0.0000
Cr Sb Os
1 4 1
direct
0.0000 0.0000 0.0000 Cr
0.3754 0.3754 0.3754 Sb
0.3754 0.3754 0.8739 Sb
0.3754 0.8739 0.3754 Sb
0.8739 0.3754 0.3754 Sb
0.7500 0.7500 0.7500 Os


No. 2
LaNi3 | the Alexandria database | PBE-GGA | relaxed; energy of formation = -0.061 eV per atom; space-group type = No. 139
1.0
-1.9903 1.9903 7.8153
1.9903 -1.9903 7.8153
1.9903 1.9903 -7.8153
La Ni
2 6
direct
0.1254 0.1254 0.0000 La
0.8746 0.8746 0.0000 La
0.0000 0.5000 0.5000 Ni
0.2500 0.7500 0.5000 Ni
0.3739 0.3739 0.0000 Ni
0.5000 0.0000 0.5000 Ni
0.6261 0.6261 0.0000 Ni
0.7500 0.2500 0.5000 Ni


| no. | density (g/cm³) | uncorrected energy (eV/atom) |
| --- | --- | --- |
| 1 | 7.9 | -4.903 |
| 2 | 8.4 | -5.629 |